Compound: TbErAg
Source: the Alexandria database
Functional: GGA-PBE
Structure: optimized geometry

Calculated values
The formation enthalpy at 0 K comes out at -0.038 eV/atom. As for the energy above the most stable polymorph in this dataset: 47 kJ/mol of formula units. As for the density of states at the Fermi level: 2.6 states/eV per cell. As for the space-group type: P3m1 (156). Its total moment is 0.0 μB/cell. Its volume is 80.0 Å³ per cell. Its crystal system is trigonal.

Cell lengths 5.0387, 5.0387, 3.6406 Å; angles 90.00, 90.00, 120.00 degrees
Last column: nearest neighbours and their distance in Å.
Fractional coordinates of all 3 atoms:
Tb 0.0000 0.0000 0.0000  3 Ag 3.10, 3 Er 3.36
Er 0.6667 0.3333 0.4599  3 Ag 3.04, 3 Tb 3.36
Ag 0.3333 0.6667 0.7068  3 Er 3.04, 3 Tb 3.10

Compound: Tb3Er4Ag
Source: the Alexandria database
Functional: GGA-PBE
Structure: optimized geometry

Calculated values
The formation enthalpy at 0 K comes out at -0.060 eV/atom. As for the density of states at the Fermi level: 9.4 states/eV per cell. As for the space-group type: P4/mmm (123). Its total moment is 0.0 μB/cell. Its volume is 235.0 Å³ per cell. Its crystal system is tetragonal.

Cell lengths 3.5283, 3.5283, 18.8757 Å; angles 90.00, 90.00, 90.00 degrees
Last column: nearest neighbours and their distance in Å.
Fractional coordinates of all 8 atoms:
Tb 0.0000 0.0000 0.0000  4 Tb 3.53, 8 Er 3.54
Tb 0.0000 0.0000 0.2652  8 Er 3.53-3.56, 4 Tb 3.53
Tb 0.0000 0.0000 0.7348  8 Er 3.53-3.56, 4 Tb 3.53
Er 0.5000 0.5000 0.1331  8 Tb 3.53-3.54, 4 Er 3.53
Er 0.5000 0.5000 0.4000  4 Ag 3.13
Er 0.5000 0.5000 0.6000  4 Ag 3.13
Er 0.5000 0.5000 0.8669  8 Tb 3.53-3.54, 4 Er 3.53
Ag 0.0000 0.0000 0.5000  8 Er 3.13

Compound: TbErAg6
Source: the Alexandria database
Functional: GGA-PBE
Structure: optimized geometry

Calculated values
The formation enthalpy at 0 K comes out at -0.214 eV/atom. As for the density of states at the Fermi level: 4.7 states/eV per cell. As for the space-group type: C2/m (12). Its total moment is 0.0 μB/cell. Its volume is 164.5 Å³ per cell. Its crystal system is monoclinic.

Cell lengths 5.1954, 5.1954, 8.9140 Å; angles 115.25, 115.25, 50.88 degrees
Last column: nearest neighbours and their distance in Å.
Fractional coordinates of all 8 atoms:
Tb 0.0000 0.0000 0.0000  12 Ag 3.04-3.17
Er 0.0000 0.0000 0.5000  12 Ag 3.03-3.14
Ag 0.2497 0.2497 0.8723  1 Er 3.03, 8 Ag 3.03-3.19, 3 Tb 3.04-3.05
Ag 0.2512 0.2512 0.3776  8 Ag 3.02-3.15, 3 Er 3.03-3.04, 1 Tb 3.06
Ag 0.4984 0.4984 0.2512  8 Ag 3.02-3.07, 2 Er 3.14, 2 Tb 3.17
Ag 0.5016 0.5016 0.7488  8 Ag 3.02-3.07, 2 Er 3.14, 2 Tb 3.17
Ag 0.7488 0.7488 0.6224  8 Ag 3.02-3.15, 3 Er 3.03-3.04, 1 Tb 3.06
Ag 0.7503 0.7503 0.1277  1 Er 3.03, 8 Ag 3.03-3.19, 3 Tb 3.04-3.05

Compound: TbErAg
Source: the Alexandria database
Functional: GGA-PBE
Structure: optimized geometry

Calculated values
The formation enthalpy at 0 K comes out at -0.110 eV/atom. As for the energy above the most stable polymorph in this dataset: 26 kJ/mol of formula units. As for the density of states at the Fermi level: 8.8 states/eV per cell. As for the space-group type: P4/nmm (129). Its total moment is 0.0 μB/cell. Its volume is 166.4 Å³ per cell. Its crystal system is tetragonal.

Cell lengths 4.7207, 4.7207, 7.4661 Å; angles 90.00, 90.00, 90.00 degrees
Last column: nearest neighbours and their distance in Å.
Fractional coordinates of all 6 atoms:
Tb 0.2500 0.2500 0.1322  1 Ag 2.87
Tb 0.7500 0.7500 0.8678  1 Ag 2.87
Er 0.2500 0.7500 0.5000  4 Ag 3.00, 4 Er 3.34
Er 0.7500 0.2500 0.5000  4 Ag 3.00, 4 Er 3.34
Ag 0.2500 0.2500 0.7477  1 Tb 2.87, 4 Er 3.00
Ag 0.7500 0.7500 0.2523  1 Tb 2.87, 4 Er 3.00

Compound: TbEr3Ag4
Source: the Alexandria database
Functional: GGA-PBE
Structure: optimized geometry

Calculated values
The formation enthalpy at 0 K comes out at -0.328 eV/atom. As for the density of states at the Fermi level: 4.4 states/eV per cell. As for the space-group type: Pmmm (47). Its total moment is 0.0 μB/cell. Its volume is 189.3 Å³ per cell. Its crystal system is orthorhombic.

Cell lengths 3.5846, 5.1394, 10.2737 Å; angles 90.00, 90.00, 90.00 degrees
Last column: nearest neighbours and their distance in Å.
Fractional coordinates of all 8 atoms:
Tb 0.0000 0.0000 0.0000  8 Ag 3.13-3.16
Er 0.0000 0.0000 0.5000  8 Ag 3.10-3.13
Er 0.0000 0.5000 0.2509  8 Ag 3.12-3.14
Er 0.0000 0.5000 0.7491  8 Ag 3.12-3.14
Ag 0.5000 0.0000 0.2535  6 Er 3.10-3.13, 2 Tb 3.16
Ag 0.5000 0.0000 0.7465  6 Er 3.10-3.13, 2 Tb 3.16
Ag 0.5000 0.5000 0.0000  4 Tb 3.13, 4 Er 3.14
Ag 0.5000 0.5000 0.5000  8 Er 3.12-3.13

Compound: TbEr3Ag3
Source: the Alexandria database
Functional: GGA-PBE
Structure: optimized geometry

Calculated values
The formation enthalpy at 0 K comes out at -0.151 eV/atom. As for the density of states at the Fermi level: 13.3 states/eV per cell. As for the space-group type: C2/m (12). Its total moment is 0.0 μB/cell. Its volume is 364.6 Å³ per cell. Its crystal system is monoclinic.

Cell lengths 7.2529, 7.2529, 6.9509 Å; angles 90.61, 90.61, 94.25 degrees
Last column: nearest neighbours and their distance in Å.
Fractional coordinates of all 14 atoms:
Tb 0.2434 0.2434 0.3490  3 Ag 2.91-2.96
Tb 0.7566 0.7566 0.6510  3 Ag 2.91-2.96
Er 0.1213 0.1213 0.8385  3 Ag 2.91-3.21
Er 0.2406 0.7594 0.5000  6 Ag 3.07-3.14
Er 0.3153 0.6847 0.0000  6 Ag 2.91-3.14
Er 0.6847 0.3153 0.0000  6 Ag 2.91-3.14
Er 0.7594 0.2406 0.5000  6 Ag 3.07-3.14
Er 0.8787 0.8787 0.1615  3 Ag 2.91-3.21
Ag 0.0202 0.4954 0.7699  5 Er 2.91-3.14, 1 Tb 2.91, 2 Ag 3.08-3.22
Ag 0.4272 0.4272 0.6899  2 Tb 2.96-3.27, 5 Er 3.00-3.21, 3 Ag 3.03-3.08
Ag 0.4954 0.0202 0.7699  5 Er 2.91-3.14, 1 Tb 2.91, 2 Ag 3.08-3.22
Ag 0.5046 0.9798 0.2301  5 Er 2.91-3.14, 1 Tb 2.91, 2 Ag 3.08-3.22
Ag 0.5728 0.5728 0.3101  2 Tb 2.96-3.27, 5 Er 3.00-3.21, 3 Ag 3.03-3.08
Ag 0.9798 0.5046 0.2301  5 Er 2.91-3.14, 1 Tb 2.91, 2 Ag 3.08-3.22

Compound: Tb2ErAg2
Source: the Alexandria database
Functional: GGA-PBE
Structure: optimized geometry

Calculated values
The formation enthalpy at 0 K comes out at -0.061 eV/atom. As for the energy above the most stable polymorph in this dataset: 84 kJ/mol of formula units. As for the density of states at the Fermi level: 9.7 states/eV per cell. As for the space-group type: P2_1/m (11). Its total moment is 0.0 μB/cell. Its volume is 281.7 Å³ per cell. Its crystal system is monoclinic.

Cell lengths 5.2881, 4.9040, 10.9343 Å; angles 90.00, 96.56, 90.00 degrees
Last column: nearest neighbours and their distance in Å.
Fractional coordinates of all 10 atoms:
Tb 0.1625 0.2500 0.1118  5 Ag 2.78-3.02
Tb 0.2527 0.7500 0.5076  4 Ag 2.89-2.99
Tb 0.7473 0.2500 0.4924  4 Ag 2.89-2.99
Tb 0.8375 0.7500 0.8882  5 Ag 2.78-3.02
Er 0.2984 0.2500 0.7595  1 Ag 3.09
Er 0.7016 0.7500 0.2405  1 Ag 3.09
Ag 0.2142 0.2500 0.3673  5 Tb 2.78-2.99
Ag 0.3588 0.7500 0.9918  4 Tb 2.86-3.02, 2 Ag 2.87, 1 Er 3.09
Ag 0.6412 0.2500 0.0082  4 Tb 2.86-3.02, 2 Ag 2.87, 1 Er 3.09
Ag 0.7858 0.7500 0.6327  5 Tb 2.78-2.99

Compound: TbErAg4
Source: the Alexandria database
Functional: GGA-PBE
Structure: optimized geometry

Calculated values
The formation enthalpy at 0 K comes out at -0.172 eV/atom. As for the energy above the most stable polymorph in this dataset: 83 kJ/mol of formula units. As for the density of states at the Fermi level: 5.9 states/eV per cell. As for the space-group type: F-43m (216). Its total moment is 0.0 μB/cell. Its volume is 130.7 Å³ per cell. Its crystal system is cubic.

Cell lengths 5.6963, 5.6963, 5.6963 Å; angles 60.00, 60.00, 60.00 degrees
Last column: nearest neighbours and their distance in Å.
Fractional coordinates of all 6 atoms:
Tb 0.0000 0.0000 0.0000  12 Ag 3.34, 4 Er 3.49
Er 0.2500 0.2500 0.2500  12 Ag 3.34, 4 Tb 3.49
Ag 0.1253 0.6249 0.6249  6 Ag 2.85
Ag 0.6249 0.1253 0.6249  6 Ag 2.85
Ag 0.6249 0.6249 0.1253  6 Ag 2.85
Ag 0.6249 0.6249 0.6249  6 Ag 2.85